Record 1
# Ca2ScTa PBEsol relaxed
# E_form: 2.85 eV/f.u.
data_Ca2ScTa
_cell_length_a 4.4807
_cell_length_b 4.4807
_cell_length_c 5.0507
_cell_angle_alpha 90.00
_cell_angle_beta 90.00
_cell_angle_gamma 90.00
_space_group_name_H-M_alt 'P 4/m m m'
_space_group_IT_number 123
_space_group_name_Hall '-P 4 2'
loop_
_atom_site_label
_atom_site_type_symbol
_atom_site_fract_x
_atom_site_fract_y
_atom_site_fract_z
Ca1 Ca 0.0000 0.5000 0.0000
Sc1 Sc 0.0000 0.0000 0.5000
Ta1 Ta 0.5000 0.5000 0.5000

Record 2
# BaHgIr2 PBEsol relaxed
# E_form: 0.76 eV/f.u.
data_BaHgIr2
_cell_length_a 2.9527
_cell_length_b 4.0541
_cell_length_c 7.5603
_cell_angle_alpha 90.00
_cell_angle_beta 100.44
_cell_angle_gamma 90.00
_space_group_name_H-M_alt 'P 1 m 1'
_space_group_IT_number 6
loop_
_space_group_symop_operation_xyz
'x,y,z'
'x,-y,z'
loop_
_atom_site_label
_atom_site_type_symbol
_atom_site_fract_x
_atom_site_fract_y
_atom_site_fract_z
Ba1 Ba 0.0000 0.0000 0.0000
Hg1 Hg 0.6526 0.5000 0.3197
Ir1 Ir 0.3989 0.5000 0.6798
Ir2 Ir 0.8677 0.0000 0.5912

Record 3
# Tl2FeB2 PBEsol relaxed
# E_form: 5.66 eV/f.u.
data_Tl2FeB2
_cell_length_a 2.8580
_cell_length_b 2.8580
_cell_length_c 18.0747
_cell_angle_alpha 90.00
_cell_angle_beta 90.00
_cell_angle_gamma 90.00
_space_group_name_H-M_alt 'I 4/m m m'
_space_group_IT_number 139
_space_group_name_Hall '-I 4 2'
loop_
_atom_site_label
_atom_site_type_symbol
_atom_site_fract_x
_atom_site_fract_y
_atom_site_fract_z
Tl1 Tl 0.0000 0.0000 0.1129
Fe1 Fe 0.0000 0.0000 0.5000
B1 B 0.0000 0.5000 0.2500

Record 4
# Mg2ReTc PBEsol relaxed
# E_form: 1.24 eV/f.u.
data_Mg2ReTc
_cell_length_a 8.8110
_cell_length_b 2.7745
_cell_length_c 5.2295
_cell_angle_alpha 90.00
_cell_angle_beta 94.61
_cell_angle_gamma 90.00
_space_group_name_H-M_alt 'C 1 m 1'
_space_group_IT_number 8
loop_
_space_group_symop_operation_xyz
'x,y,z'
'x,-y,z'
'x+1/2,y+1/2,z'
'x+1/2,-y+1/2,z'
loop_
_atom_site_label
_atom_site_type_symbol
_atom_site_fract_x
_atom_site_fract_y
_atom_site_fract_z
Mg1 Mg 0.0000 0.0000 0.0000
Mg2 Mg 0.2430 0.0000 0.7551
Re1 Re 0.2459 0.5000 0.2820
Tc1 Tc 0.4961 0.0000 0.4695

Record 5
# CrHg2Ru PBEsol relaxed
# E_form: 2.57 eV/f.u.
data_CrHg2Ru
_cell_length_a 6.4409
_cell_length_b 6.4409
_cell_length_c 6.4409
_cell_angle_alpha 90.00
_cell_angle_beta 90.00
_cell_angle_gamma 90.00
_space_group_name_H-M_alt 'F -4 3 m'
_space_group_IT_number 216
_space_group_name_Hall 'F -4 2 3'
loop_
_atom_site_label
_atom_site_type_symbol
_atom_site_fract_x
_atom_site_fract_y
_atom_site_fract_z
Cr1 Cr 0.0000 0.0000 0.0000
Hg1 Hg 0.0000 0.0000 0.5000
Hg2 Hg 0.2500 0.2500 0.2500
Ru1 Ru 0.2500 0.2500 0.7500

Record 6
# CdAgHg2 PBEsol relaxed
# E_form: 0.22 eV/f.u.
data_CdAgHg2
_cell_length_a 3.0090
_cell_length_b 5.3013
_cell_length_c 10.3033
_cell_angle_alpha 90.00
_cell_angle_beta 90.00
_cell_angle_gamma 90.00
_space_group_name_H-M_alt 'C m m m'
_space_group_IT_number 65
_space_group_name_Hall '-C 2 2'
loop_
_atom_site_label
_atom_site_type_symbol
_atom_site_fract_x
_atom_site_fract_y
_atom_site_fract_z
Cd1 Cd 0.0000 0.0000 0.0000
Ag1 Ag 0.0000 0.0000 0.5000
Hg1 Hg 0.0000 0.5000 0.2630

Record 7
# ReSiIr2 PBEsol relaxed
# ΔE_f (raw): -4.3 kcal/mol of atoms
data_ReSiIr2
_cell_length_a 2.7554
_cell_length_b 3.7673
_cell_length_c 5.3023
_cell_angle_alpha 90.00
_cell_angle_beta 90.00
_cell_angle_gamma 90.00
_space_group_name_H-M_alt 'P m m m'
_space_group_IT_number 47
loop_
_space_group_symop_operation_xyz
'x,y,z'
'-x,-y,-z'
'-x,-y,z'
'x,y,-z'
'x,-y,-z'
'-x,y,z'
'-x,y,-z'
'x,-y,z'
loop_
_atom_site_label
_atom_site_type_symbol
_atom_site_fract_x
_atom_site_fract_y
_atom_site_fract_z
Re1 Re 0.0000 0.0000 0.0000
Si1 Si 0.0000 0.0000 0.5000
Ir1 Ir 0.5000 0.5000 0.2518

Record 8
# NaHf2AsSe PBEsol relaxed
# ΔE_f (raw): 28.4 kcal/mol of atoms
data_NaHf2AsSe
_cell_length_a 5.0460
_cell_length_b 5.0460
_cell_length_c 4.3852
_cell_angle_alpha 90.00
_cell_angle_beta 90.00
_cell_angle_gamma 90.00
_space_group_name_H-M_alt 'P 4/m m m'
_space_group_IT_number 123
_space_group_name_Hall '-P 4 2'
loop_
_atom_site_label
_atom_site_type_symbol
_atom_site_fract_x
_atom_site_fract_y
_atom_site_fract_z
Na1 Na 0.0000 0.0000 0.0000
Hf1 Hf 0.0000 0.5000 0.0000
As1 As 0.0000 0.0000 0.5000
Se1 Se 0.5000 0.5000 0.5000

Record 9
# CaTeS2O PBEsol relaxed
# ΔE_f (raw): 18.8 kcal/mol of atoms
data_CaTeS2O
_cell_length_a 5.0918
_cell_length_b 5.0918
_cell_length_c 5.9120
_cell_angle_alpha 90.00
_cell_angle_beta 90.00
_cell_angle_gamma 90.00
_space_group_name_H-M_alt 'P 4/m m m'
_space_group_IT_number 123
_space_group_name_Hall '-P 4 2'
loop_
_atom_site_label
_atom_site_type_symbol
_atom_site_fract_x
_atom_site_fract_y
_atom_site_fract_z
Ca1 Ca 0.0000 0.0000 0.0000
Te1 Te 0.0000 0.0000 0.5000
S1 S 0.0000 0.5000 0.0000
O1 O 0.5000 0.5000 0.5000

Record 10
# KLa2SiN PBEsol relaxed
# ΔE_f (raw): 23.3 kcal/mol of atoms
data_KLa2SiN
_cell_length_a 5.5636
_cell_length_b 5.5636
_cell_length_c 5.5801
_cell_angle_alpha 90.00
_cell_angle_beta 90.00
_cell_angle_gamma 90.00
_space_group_name_H-M_alt 'P 4/m m m'
_space_group_IT_number 123
_space_group_name_Hall '-P 4 2'
loop_
_atom_site_label
_atom_site_type_symbol
_atom_site_fract_x
_atom_site_fract_y
_atom_site_fract_z
K1 K 0.0000 0.0000 0.0000
La1 La 0.0000 0.5000 0.5000
Si1 Si 0.0000 0.0000 0.5000
N1 N 0.5000 0.5000 0.0000

Record 11
# BaSiAs2Br PBEsol relaxed
# ΔE_f (raw): -9.2 kcal/mol of atoms
data_BaSiAs2Br
_cell_length_a 4.6873
_cell_length_b 4.6873
_cell_length_c 6.5592
_cell_angle_alpha 90.00
_cell_angle_beta 90.00
_cell_angle_gamma 90.00
_space_group_name_H-M_alt 'P 4/m m m'
_space_group_IT_number 123
_space_group_name_Hall '-P 4 2'
loop_
_atom_site_label
_atom_site_type_symbol
_atom_site_fract_x
_atom_site_fract_y
_atom_site_fract_z
Ba1 Ba 0.0000 0.0000 0.0000
Si1 Si 0.0000 0.0000 0.5000
As1 As 0.0000 0.5000 0.5000
Br1 Br 0.5000 0.5000 0.0000

Record 12
# NaCr2NiPt PBEsol relaxed
# E_form: 5.52 eV/f.u.
data_NaCr2NiPt
_cell_length_a 4.8192
_cell_length_b 4.8192
_cell_length_c 4.6796
_cell_angle_alpha 90.00
_cell_angle_beta 90.00
_cell_angle_gamma 90.00
_space_group_name_H-M_alt 'P 4/m m m'
_space_group_IT_number 123
_space_group_name_Hall '-P 4 2'
loop_
_atom_site_label
_atom_site_type_symbol
_atom_site_fract_x
_atom_site_fract_y
_atom_site_fract_z
Na1 Na 0.0000 0.0000 0.0000
Cr1 Cr 0.0000 0.5000 0.5000
Ni1 Ni 0.5000 0.5000 0.0000
Pt1 Pt 0.5000 0.5000 0.5000

Record order is preserved below.
Calculated volume: 101.4, 89.0, 147.6, 127.4, 267.2, 164.4, 55.0, 111.7, 153.3, 172.7, 144.1, 108.7 Å³ per cell
Record order is preserved below.
Total magnetic moment: 0.225, 0.000, 0.497, 0.000, 0.648, 0.000, 0.000, 0.000, 0.097, 0.000, 0.000, 1.668 μB/atom